VASP calculation (PBEsol) on a relaxed KGaSb4 crystal.

Output
electronic total energy = -95.77 eV for the cell shown
total magnetization = 0.000 Bohr magnetons per cell
theoretical density = 5.2 g/cm³

a = 10.2414 Å, b = 4.2105 Å, c = 17.7436 Å
α = 90.00°, β = 90.00°, γ = 90.00°
Space group Pnma (No. 62)
Asymmetric unit:
K1 0.1801 0.2500 0.0660 x4
Ga1 0.1859 0.7500 0.3698 x4
Sb1 0.0356 0.2500 0.5510 x4
Sb2 0.0691 0.7500 0.7500 x4
Sb3 0.1179 0.7500 0.2256 x4
Sb4 0.1652 0.7500 0.9004 x4